The following is a PBE-GGA calculation of a relaxed structure of Ga4Cu2Ir, from Alexandria.

Output
Crystal system   tetragonal
E   -57.1 eV/cell
Formation enthalpy at 0 K   0.09 eV/atom

Cell lengths 4.810, 4.810, 12.091 Å; angles 90.00, 90.00, 90.00 degrees
Space group I4/mmm (No. 139)
Unique sites:
Ga1 0.000 0.000 0.202 (multiplicity 4)
Ga2 0.000 0.500 0.000 (multiplicity 4)
Cu1 0.000 0.000 0.398 (multiplicity 4)
Ir1 0.000 0.000 0.000 (multiplicity 2)


The following is a PBE-GGA calculation of a relaxed structure of KGa2CuIr, from Alexandria.

Output
Crystal system   tetragonal
E   -20.8 eV/cell
Formation enthalpy at 0 K   -0.13 eV/atom

Cell lengths 4.796, 4.796, 5.078 Å; angles 90.00, 90.00, 90.00 degrees
Space group P4/mmm (No. 123)
Unique sites:
K1 0.000 0.000 0.000 (multiplicity 1)
Ga1 0.000 0.500 0.500 (multiplicity 2)
Cu1 0.500 0.500 0.000 (multiplicity 1)
Ir1 0.500 0.500 0.500 (multiplicity 1)


The following is a PBE-GGA calculation of a relaxed structure of K2GaCuIr, from Alexandria.

Output
Crystal system   tetragonal
E   -13.3 eV/cell
Formation enthalpy at 0 K   0.97 eV/atom

Cell lengths 5.772, 5.772, 4.650 Å; angles 90.00, 90.00, 90.00 degrees
Space group P4/mmm (No. 123)
Unique sites:
K1 0.000 0.500 0.000 (multiplicity 2)
Ga1 0.000 0.000 0.500 (multiplicity 1)
Cu1 0.000 0.000 0.000 (multiplicity 1)
Ir1 0.500 0.500 0.500 (multiplicity 1)


The following is a PBE-GGA calculation of a relaxed structure of LaGaCuIr, from Alexandria.

Output
Crystal system   orthorhombic
E   -44.5 eV/cell
Formation enthalpy at 0 K   -0.33 eV/atom

Cell lengths 3.885, 4.355, 10.327 Å; angles 90.00, 90.00, 90.00 degrees
Space group Imm2 (No. 44)
Unique sites:
La1 0.000 0.000 0.000 (multiplicity 2)
Ga1 0.000 0.500 0.239 (multiplicity 2)
Cu1 0.000 0.000 0.346 (multiplicity 2)
Ir1 0.000 0.000 0.588 (multiplicity 2)


The following is a PBE-GGA calculation of a relaxed structure of La2Ga4CuIr3, from Alexandria.

Output
Crystal system   tetragonal
E   -59.1 eV/cell
Formation enthalpy at 0 K   -0.64 eV/atom

Cell lengths 4.289, 4.289, 10.469 Å; angles 90.00, 90.00, 90.00 degrees
Space group P-4m2 (No. 115)
Unique sites:
La1 0.000 0.500 0.249 (multiplicity 2)
Ga1 0.000 0.000 0.500 (multiplicity 1)
Ga2 0.000 0.500 0.876 (multiplicity 2)
Ga3 0.500 0.500 0.500 (multiplicity 1)
Cu1 0.500 0.500 0.000 (multiplicity 1)
Ir1 0.000 0.000 0.000 (multiplicity 1)
Ir2 0.000 0.500 0.634 (multiplicity 2)


The following is a PBE-GGA calculation of a relaxed structure of LaGa4Cu2Ir, from Alexandria.

Output
Crystal system   trigonal
E   -110.7 eV/cell
Formation enthalpy at 0 K   -0.35 eV/atom

Cell lengths 4.2254, 4.2254, 27.5518 Å; angles 90.00, 90.00, 120.00 degrees
Space group R-3m (No. 166, hexagonal axes)
Unique sites:
La1 0.0000 0.0000 0.0000 (multiplicity 3)
Ga1 0.0000 0.0000 0.1310 (multiplicity 6)
Ga2 0.0000 0.0000 0.4046 (multiplicity 6)
Cu1 0.0000 0.0000 0.2369 (multiplicity 6)
Ir1 0.0000 0.0000 0.5000 (multiplicity 3)


The following is a PBE-GGA calculation of a relaxed structure of LaGa4CuIr2, from Alexandria.

Output
Crystal system   trigonal
E   -127.7 eV/cell
Formation enthalpy at 0 K   -0.47 eV/atom

Cell lengths 4.3062, 4.3062, 26.5048 Å; angles 90.00, 90.00, 120.00 degrees
Space group R-3m (No. 166, hexagonal axes)
Unique sites:
La1 0.0000 0.0000 0.0000 (multiplicity 3)
Ga1 0.0000 0.0000 0.1299 (multiplicity 6)
Ga2 0.0000 0.0000 0.4028 (multiplicity 6)
Cu1 0.0000 0.0000 0.5000 (multiplicity 3)
Ir1 0.0000 0.0000 0.2281 (multiplicity 6)


The following is a PBE-GGA calculation of a relaxed structure of LuGaCuIr, from Alexandria.

Output
Crystal system   cubic
E   -89.7 eV/cell
Formation enthalpy at 0 K   -0.48 eV/atom

Cell lengths 6.412, 6.412, 6.412 Å; angles 90.00, 90.00, 90.00 degrees
Space group F-43m (No. 216)
Unique sites:
Lu1 0.000 0.000 0.000 (multiplicity 4)
Ga1 0.000 0.000 0.500 (multiplicity 4)
Cu1 0.250 0.250 0.750 (multiplicity 4)
Ir1 0.250 0.250 0.250 (multiplicity 4)


The following is a PBE-GGA calculation of a relaxed structure of MgGaCuIr, from Alexandria.

Output
Crystal system   cubic
E   -75.1 eV/cell
Formation enthalpy at 0 K   -0.30 eV/atom

Cell lengths 6.140, 6.140, 6.140 Å; angles 90.00, 90.00, 90.00 degrees
Space group F-43m (No. 216)
Unique sites:
Mg1 0.000 0.000 0.000 (multiplicity 4)
Ga1 0.000 0.000 0.500 (multiplicity 4)
Cu1 0.250 0.250 0.250 (multiplicity 4)
Ir1 0.250 0.250 0.750 (multiplicity 4)


The following is a PBE-GGA calculation of a relaxed structure of Mg3Ga2CuIr3, from Alexandria.

Output
Crystal system   hexagonal
E   -44.7 eV/cell
Formation enthalpy at 0 K   -0.36 eV/atom

Cell lengths 7.3093, 7.3093, 2.9024 Å; angles 90.00, 90.00, 120.00 degrees
Space group P-62m (No. 189)
Unique sites:
Mg1 0.0000 0.7174 0.0000 (multiplicity 3)
Ga1 0.3333 0.6667 0.0000 (multiplicity 2)
Cu1 0.0000 0.0000 0.5000 (multiplicity 1)
Ir1 0.0000 0.3780 0.5000 (multiplicity 3)


The following is a PBE-GGA calculation of a relaxed structure of NdGa4Cu2Ir, from Alexandria.

Output
Crystal system   trigonal
E   -110.0 eV/cell
Formation enthalpy at 0 K   -0.34 eV/atom

Cell lengths 4.2074, 4.2074, 27.1138 Å; angles 90.00, 90.00, 120.00 degrees
Space group R-3m (No. 166, hexagonal axes)
Unique sites:
Nd1 0.0000 0.0000 0.0000 (multiplicity 3)
Ga1 0.0000 0.0000 0.1299 (multiplicity 6)
Ga2 0.0000 0.0000 0.4028 (multiplicity 6)
Cu1 0.0000 0.0000 0.2383 (multiplicity 6)
Ir1 0.0000 0.0000 0.5000 (multiplicity 3)


The following is a PBE-GGA calculation of a relaxed structure of Nd2Ga4Cu3Ir, from Alexandria.

Output
Crystal system   tetragonal
E   -47.7 eV/cell
Formation enthalpy at 0 K   -0.49 eV/atom

Cell lengths 4.194, 4.194, 10.364 Å; angles 90.00, 90.00, 90.00 degrees
Space group P-4m2 (No. 115)
Unique sites:
Nd1 0.000 0.500 0.249 (multiplicity 2)
Ga1 0.000 0.000 0.500 (multiplicity 1)
Ga2 0.000 0.500 0.868 (multiplicity 2)
Ga3 0.500 0.500 0.500 (multiplicity 1)
Cu1 0.000 0.000 0.000 (multiplicity 1)
Cu2 0.000 0.500 0.632 (multiplicity 2)
Ir1 0.500 0.500 0.000 (multiplicity 1)


The highest E belongs to which entry?
K2GaCuIr